{
  "formula": "InSbW2",
  "functional": "GGA-PBEsol",
  "state": "relaxed",
  "lattice": [[4.6368, 0.0000, 0.0000], [0.0000, 4.6368, 0.0000], [0.0000, 0.0000, 3.2941]],
  "species": ["In", "Sb", "W", "W"],
  "frac_coords": [[0.0000, 0.0000, 0.0000], [0.5000, 0.5000, 0.0000], [0.0000, 0.5000, 0.5000], [0.5000, 0.0000, 0.5000]],
  "dos_at_fermi_per_ev_cell": 4.45,
  "magmom_total_mub_per_cell": 0.0,
  "crystal_system": "tetragonal",
  "e_above_lowest_polymorph_kj_per_mol_fu": 121,
  "e_form_raw_ev_per_atom": 0.797
}